[1]
This record from Alexandria via LeMat-Bulk describes a relaxed NaSbOs3 crystal. The functional is PBE.

Raw total energy: -5.61 eV per atom

a = 4.904 Å, b = 4.904 Å, c = 4.904 Å
α = 90.00°, β = 90.00°, γ = 90.00°
Site moments in Bohr magnetons follow the coordinates.
Fractional coordinates of all 5 atoms:
1 Sb 0.000 0.000 0.000  -0.04
2 Os 0.000 0.500 0.000  0.91
3 Os 0.000 0.000 0.500  1.01
4 Os 0.500 0.000 0.000  0.72
5 Na 0.500 0.500 0.500  -0.01

[2]
This record from Alexandria via LeMat-Bulk describes a relaxed Hf12TlPb3 crystal. The functional is PBE.

Raw total energy: -8.30 eV per atom
Formation energy from the elements: 0.006 eV per atom

a = 5.630 Å, b = 5.630 Å, c = 11.258 Å
α = 90.00°, β = 90.00°, γ = 90.00°
Fractional coordinates of all 16 atoms:
1 Hf 0.500 0.000 0.376
2 Hf 0.500 0.000 0.874
3 Hf 0.750 0.500 0.000
4 Hf 0.751 0.500 0.500
5 Hf 0.000 0.751 0.251
6 Hf 0.000 0.751 0.749
7 Hf 0.500 0.000 0.126
8 Hf 0.500 0.000 0.624
9 Hf 0.250 0.500 0.000
10 Hf 0.249 0.500 0.500
11 Hf 0.000 0.249 0.251
12 Hf 0.000 0.249 0.749
13 Tl 0.000 0.000 0.500
14 Pb 0.500 0.500 0.250
15 Pb 0.500 0.500 0.750
16 Pb 0.000 0.000 0.000

[3]
This record from Alexandria via LeMat-Bulk describes a relaxed Rb4CuAg3F12 crystal. The functional is PBE.

Raw total energy: -3.89 eV per atom

a = 7.576 Å, b = 7.576 Å, c = 7.576 Å
α = 109.47°, β = 109.47°, γ = 109.47°
Site moments in Bohr magnetons follow the coordinates.
Fractional coordinates of all 20 atoms:
1 Rb 0.500 0.500 0.500  0.00
2 Rb 0.000 0.000 0.500  0.00
3 Rb 0.500 0.000 0.000  0.00
4 Rb 0.000 0.500 0.000  0.00
5 Cu 0.000 0.000 0.000  0.83
6 Ag 0.500 0.000 0.500  0.00
7 Ag 0.500 0.500 0.000  0.00
8 Ag 0.000 0.500 0.500  0.00
9 F 0.250 0.500 0.750  -0.01
10 F 0.774 0.000 0.774  0.09
11 F 0.226 0.000 0.226  0.09
12 F 0.750 0.500 0.250  -0.01
13 F 0.774 0.774 0.000  0.09
14 F 0.226 0.226 0.000  0.09
15 F 0.750 0.250 0.500  -0.01
16 F 0.250 0.750 0.500  -0.01
17 F 0.500 0.250 0.750  -0.01
18 F 0.000 0.774 0.774  0.09
19 F 0.500 0.750 0.250  -0.01
20 F 0.000 0.226 0.226  0.09

[4]
This record from Alexandria via LeMat-Bulk describes a relaxed Er3NpO7 crystal. The functional is PBE.

Raw total energy: -8.98 eV per atom

a = 6.527 Å, b = 6.527 Å, c = 7.623 Å
α = 90.00°, β = 90.00°, γ = 109.80°
Site moments in Bohr magnetons follow the coordinates.
Fractional coordinates of all 22 atoms:
1 Er 0.500 0.500 0.500  0.00
2 Er 0.500 0.500 0.000  0.00
3 Er 0.532 0.005 0.250  0.00
4 Er 0.468 0.995 0.750  0.00
5 Er 0.005 0.532 0.750  0.00
6 Er 0.995 0.468 0.250  0.00
7 Np 0.000 0.000 0.500  2.18
8 Np 0.000 0.000 0.000  2.18
9 O 0.662 0.913 0.530  -0.04
10 O 0.338 0.087 0.030  -0.04
11 O 0.913 0.662 0.470  -0.04
12 O 0.087 0.338 0.970  -0.04
13 O 0.087 0.338 0.530  -0.04
14 O 0.913 0.662 0.030  -0.04
15 O 0.338 0.087 0.470  -0.04
16 O 0.662 0.913 0.970  -0.04
17 O 0.366 0.634 0.250  0.00
18 O 0.634 0.366 0.750  0.00
19 O 0.633 0.367 0.250  -0.01
20 O 0.367 0.633 0.750  -0.01
21 O 0.902 0.098 0.250  -0.04
22 O 0.098 0.902 0.750  -0.04

[5]
This record from Alexandria via LeMat-Bulk describes a relaxed CeDy5Pb6 crystal. The functional is PBE.

Raw total energy: -4.69 eV per atom
Formation energy from the elements: -0.421 eV per atom

a = 5.050 Å, b = 8.902 Å, c = 9.169 Å
α = 60.96°, β = 73.87°, γ = 90.00°
Site moments in Bohr magnetons follow the coordinates.
Fractional coordinates of all 12 atoms:
1 Pb 0.832 0.581 0.336  0.00
2 Pb 0.832 0.084 0.336  0.00
3 Pb 0.500 0.747 0.000  0.00
4 Pb 0.500 0.253 0.000  0.00
5 Pb 0.168 0.916 0.664  0.00
6 Pb 0.168 0.419 0.664  0.00
7 Ce 0.000 0.000 0.000  0.89
8 Dy 0.669 0.169 0.663  0.15
9 Dy 0.333 0.333 0.334  0.08
10 Dy 0.000 0.500 0.000  0.07
11 Dy 0.667 0.667 0.666  0.08
12 Dy 0.331 0.831 0.337  0.15

[6]
This record from Alexandria via LeMat-Bulk describes a relaxed Pu2ZnSnAu6 crystal. The functional is PBE.

Raw total energy: -5.63 eV per atom
Formation energy from the elements: -0.265 eV per atom

a = 5.309 Å, b = 7.419 Å, c = 7.150 Å
α = 52.11°, β = 75.31°, γ = 83.15°
Site moments in Bohr magnetons follow the coordinates.
Fractional coordinates of all 10 atoms:
1 Pu 0.896 0.460 0.307  5.29
2 Pu 0.104 0.540 0.693  5.29
3 Zn 0.000 0.000 0.000  0.01
4 Sn 0.500 0.500 0.000  -0.04
5 Au 0.350 0.161 0.565  0.00
6 Au 0.842 0.909 0.739  0.00
7 Au 0.401 0.756 0.181  0.00
8 Au 0.599 0.244 0.819  0.00
9 Au 0.158 0.091 0.261  0.00
10 Au 0.650 0.839 0.435  0.00

[7]
This record from Alexandria via LeMat-Bulk describes a relaxed SrYTlCu crystal. The functional is PBE.

Raw total energy: -3.80 eV per atom
Formation energy from the elements: -0.148 eV per atom

a = 5.369 Å, b = 5.369 Å, c = 5.369 Å
α = 60.00°, β = 60.00°, γ = 60.00°
Fractional coordinates of all 4 atoms:
1 Y 0.750 0.750 0.750
2 Sr 0.250 0.250 0.250
3 Tl 0.500 0.500 0.500
4 Cu 0.000 0.000 0.000

[8]
This record from Alexandria via LeMat-Bulk describes a relaxed AcPr3Cl crystal. The functional is PBE.

Raw total energy: -4.60 eV per atom

a = 5.613 Å, b = 5.613 Å, c = 5.613 Å
α = 90.00°, β = 90.00°, γ = 90.00°
Fractional coordinates of all 5 atoms:
1 Pr 0.000 0.500 0.000
2 Pr 0.000 0.000 0.500
3 Pr 0.500 0.000 0.000
4 Ac 0.500 0.500 0.500
5 Cl 0.000 0.000 0.000